(1)
Material: As2Cl
Method: DFT, PBE-GGA
State: optimized geometry

a = 4.881 Å, b = 4.881 Å, c = 2.878 Å
α = 90.00°, β = 90.00°, γ = 90.00°
Fractional positions:
As: 0.000 0.500 0.500
Cl: 0.000 0.000 0.000
As: 0.500 0.000 0.500

Output
The value obtained for the density of states at the Fermi level is 2.1 states/eV/cell. As for the crystal system: tetragonal. The total energy comes out at -2.95 eV/atom. The value obtained for the formation energy (no corrections) is 221 kJ/mol of formula units.

(2)
Material: La2NiRh
Method: DFT, PBE-GGA
State: optimized geometry

a = 4.208 Å, b = 3.987 Å, c = 5.960 Å
α = 70.37°, β = 90.00°, γ = 90.00°
Fractional positions:
Rh: 0.500 0.540 0.793
Ni: 0.000 0.707 0.462
La: 0.500 0.264 0.350
La: 0.000 0.989 0.895

Output
The value obtained for the density of states at the Fermi level is 2.3 states/eV/cell. As for the crystal system: monoclinic. The total energy comes out at -6.30 eV/atom. The formation energy is -0.56 eV per atom.